Entry 1:
# Ba4LaTe5 (PBE, relaxed)
# N(E_F)	7.9	states/eV per cell
# formation energy from raw total energies	-1.729	eV per atom
data_Ba4LaTe5
_chemical_formula_sum 'Ba12 La3 Te15'
_space_group_name_H-M_alt 'R -3 m'
_space_group_IT_number 166
_space_group_name_Hall '-R 3 2"'
_cell_length_a 4.8866
_cell_length_b 4.8866
_cell_length_c 60.6943
_cell_angle_alpha 90.00
_cell_angle_beta 90.00
_cell_angle_gamma 120.00
loop_
_atom_site_label
_atom_site_fract_x
_atom_site_fract_y
_atom_site_fract_z
Ba1 0.0000 0.0000 0.1028
Ba2 0.0000 0.0000 0.2989
La1 0.0000 0.0000 0.5000
Te1 0.0000 0.0000 0.0000
Te2 0.0000 0.0000 0.1955
Te3 0.0000 0.0000 0.4023

---

Entry 2:
# Cr2GeSe (PBE, relaxed)
# N(E_F)	7.6	states/eV per cell
# formation energy from raw total energies	0.331	eV per atom
data_Cr2GeSe
_chemical_formula_sum 'Cr8 Ge4 Se4'
_space_group_name_H-M_alt 'I -4 2 d'
_space_group_IT_number 122
_space_group_name_Hall 'I -4 2bw'
_cell_length_a 5.513
_cell_length_b 5.513
_cell_length_c 11.946
_cell_angle_alpha 90.00
_cell_angle_beta 90.00
_cell_angle_gamma 90.00
loop_
_atom_site_label
_atom_site_fract_x
_atom_site_fract_y
_atom_site_fract_z
Cr1 0.248 0.250 0.125
Ge1 0.000 0.000 0.000
Se1 0.000 0.000 0.500

---

Entry 3:
# Sm5Dy4Tm (PBE, relaxed)
# final energy	-43.8	eV/f.u.
# N(E_F)	28.1	states/eV per cell
data_Sm5Dy4Tm
_chemical_formula_sum 'Sm10 Dy8 Tm2'
_space_group_name_H-M_alt 'I 4 m m'
_space_group_IT_number 107
_space_group_name_Hall 'I 4 -2'
_cell_length_a 10.580
_cell_length_b 10.580
_cell_length_c 5.978
_cell_angle_alpha 90.00
_cell_angle_beta 90.00
_cell_angle_gamma 90.00
loop_
_atom_site_label
_atom_site_fract_x
_atom_site_fract_y
_atom_site_fract_z
Sm1 0.000 0.000 0.000
Sm2 0.189 0.189 0.269
Dy1 0.000 0.325 0.757
Tm1 0.000 0.000 0.531

---

Entry 4:
# Be2AlHg (PBE, relaxed)
# final energy	-9.8	eV/f.u.
# N(E_F)	2.2	states/eV per cell
data_Be2AlHg
_chemical_formula_sum 'Be4 Al2 Hg2'
_space_group_name_H-M_alt 'C m m m'
_space_group_IT_number 65
_space_group_name_Hall '-C 2 2'
_cell_length_a 5.180
_cell_length_b 7.120
_cell_length_c 3.101
_cell_angle_alpha 90.00
_cell_angle_beta 90.00
_cell_angle_gamma 90.00
loop_
_atom_site_label
_atom_site_fract_x
_atom_site_fract_y
_atom_site_fract_z
Be1 0.250 0.250 0.000
Al1 0.000 0.000 0.500
Hg1 0.000 0.500 0.500

---

Entry 5:
# AcLa6 (PBE, relaxed)
# final energy	-33.2	eV/f.u.
# N(E_F)	37.8	states/eV per cell
data_AcLa6
_chemical_formula_sum 'Ac3 La18'
_space_group_name_H-M_alt 'R -3'
_space_group_IT_number 148
_space_group_name_Hall '-R 3'
_cell_length_a 15.6907
_cell_length_b 15.6907
_cell_length_c 3.7621
_cell_angle_alpha 90.00
_cell_angle_beta 90.00
_cell_angle_gamma 120.00
loop_
_atom_site_label
_atom_site_fract_x
_atom_site_fract_y
_atom_site_fract_z
Ac1 0.0000 0.0000 0.0000
La1 0.0569 0.8083 0.5507

---

Entry 6:
# SrHgCl2 (PBE, relaxed)
# N(E_F)	0.0	states/eV per cell
# formation energy from raw total energies	-1.468	eV per atom
data_SrHgCl2
_chemical_formula_sum 'Sr2 Hg2 Cl4'
_space_group_name_H-M_alt 'I -4 m 2'
_space_group_IT_number 119
_space_group_name_Hall 'I -4 -2'
_cell_length_a 4.557
_cell_length_b 4.557
_cell_length_c 10.418
_cell_angle_alpha 90.00
_cell_angle_beta 90.00
_cell_angle_gamma 90.00
loop_
_atom_site_label
_atom_site_fract_x
_atom_site_fract_y
_atom_site_fract_z
Sr1 0.000 0.000 0.000
Hg1 0.000 0.500 0.250
Cl1 0.000 0.000 0.500
Cl2 0.000 0.500 0.750

---

Entry 7:
# Y2AgN (PBE, relaxed)
# N(E_F)	9.0	states/eV per cell
# formation energy from raw total energies	-0.843	eV per atom
data_Y2AgN
_chemical_formula_sum 'Y6 Ag3 N3'
_space_group_name_H-M_alt 'R -3 m'
_space_group_IT_number 166
_space_group_name_Hall '-R 3 2"'
_cell_length_a 3.5130
_cell_length_b 3.5130
_cell_length_c 22.7857
_cell_angle_alpha 90.00
_cell_angle_beta 90.00
_cell_angle_gamma 120.00
loop_
_atom_site_label
_atom_site_fract_x
_atom_site_fract_y
_atom_site_fract_z
Y1 0.0000 0.0000 0.2264
Ag1 0.0000 0.0000 0.0000
N1 0.0000 0.0000 0.5000

---

Entry 8:
# Rb4Hg6Pd (PBE, relaxed)
# final energy	-12.4	eV/f.u.
# N(E_F)	14.7	states/eV per cell
data_Rb4Hg6Pd
_chemical_formula_sum 'Rb8 Hg12 Pd2'
_space_group_name_H-M_alt 'P 4/m n c'
_space_group_IT_number 128
_space_group_name_Hall '-P 4 2n'
_cell_length_a 9.658
_cell_length_b 9.658
_cell_length_c 9.094
_cell_angle_alpha 90.00
_cell_angle_beta 90.00
_cell_angle_gamma 90.00
loop_
_atom_site_label
_atom_site_fract_x
_atom_site_fract_y
_atom_site_fract_z
Rb1 0.150 0.350 0.250
Hg1 0.000 0.000 0.178
Hg2 0.110 0.723 0.500
Pd1 0.000 0.000 0.500

---

Question: Look up the N(E_F) of the first one.
Answer: 7.9 states/eV per cell